# 1
! PBE-GGA Cs3Pb2Br4Cl3, optimized geometry; values from VASP
&SYSTEM
  ibrav = 0, nat = 12, ntyp = 4
/
ATOMIC_SPECIES
Cs 132.91 Cs.upf
Pb 207.20 Pb.upf
Br 79.90 Br.upf
Cl 35.45 Cl.upf
CELL_PARAMETERS angstrom
-2.8697 14.8360 3.0068
2.8697 -14.8360 3.0068
2.8697 14.8360 -3.0068
ATOMIC_POSITIONS crystal
Cs 0.0000 0.0000 0.0000
Cs 0.0758 0.8959 0.1798
Cs 0.7161 0.8959 0.8202
Pb 0.3075 0.9060 0.4015
Pb 0.5045 0.9060 0.5985
Br 0.2146 0.9134 0.3012
Br 0.6123 0.9134 0.6988
Br 0.8102 0.4039 0.4064
Br 0.9975 0.4039 0.5936
Cl 0.2873 0.3864 0.9009
Cl 0.3817 0.8817 0.5000
Cl 0.4856 0.3864 0.0991
! E_form (uncorrected), eV/atom: -1.476
! DOS(E_F), states/eV/f.u.: 0.00

# 2
! PBE-GGA RbPmSeF2, optimized geometry; values from VASP
&SYSTEM
  ibrav = 0, nat = 10, ntyp = 4
/
ATOMIC_SPECIES
Rb 85.47 Rb.upf
Pm 145.00 Pm.upf
Se 78.96 Se.upf
F 19.00 F.upf
CELL_PARAMETERS angstrom
2.0997 -7.2092 0.0000
2.0997 7.2092 0.0000
0.0000 0.0000 8.2934
ATOMIC_POSITIONS crystal
Rb 0.2330 0.7670 0.7500
Rb 0.7670 0.2330 0.2500
Pm 0.5000 0.5000 0.0000
Pm 0.5000 0.5000 0.5000
Se 0.0310 0.9690 0.2500
Se 0.9690 0.0310 0.7500
F 0.3489 0.6511 0.0476
F 0.3489 0.6511 0.4524
F 0.6511 0.3489 0.5476
F 0.6511 0.3489 0.9524
! E_form (uncorrected), eV/atom: -2.831

# 3
! PBE-GGA Nd4SiGeS2, optimized geometry; values from VASP
&SYSTEM
  ibrav = 0, nat = 16, ntyp = 4
/
ATOMIC_SPECIES
Nd 144.24 Nd.upf
Si 28.09 Si.upf
Ge 72.64 Ge.upf
S 32.06 S.upf
CELL_PARAMETERS angstrom
-4.1959 4.1960 5.9338
4.1959 -4.1960 5.9338
4.1959 4.1960 -5.9338
ATOMIC_POSITIONS crystal
Nd 0.2490 0.2491 0.9999
Nd 0.2500 0.2483 0.4983
Nd 0.2500 0.7517 0.0017
Nd 0.2509 0.7509 0.4999
Nd 0.7491 0.2491 0.5001
Nd 0.7500 0.2483 0.9983
Nd 0.7500 0.7517 0.5017
Nd 0.7510 0.7509 0.0001
Si 0.5000 0.0000 0.0000
Si 0.5000 0.5000 0.5000
Ge 0.0000 0.5000 0.5000
Ge 0.5000 0.5000 0.0000
S 0.0000 0.0000 0.0000
S 0.0000 0.0000 0.5000
S 0.0000 0.5000 0.0000
S 0.5000 0.0000 0.5000
! E_form (uncorrected), eV/atom: -1.399
! DOS(E_F), states/eV/f.u.: 2.54

# 4
! PBE-GGA YAl2AgRh, optimized geometry; values from VASP
&SYSTEM
  ibrav = 0, nat = 5, ntyp = 4
/
ATOMIC_SPECIES
Y 88.91 Y.upf
Al 26.98 Al.upf
Ag 107.87 Ag.upf
Rh 102.91 Rh.upf
CELL_PARAMETERS angstrom
4.6368 0.0000 0.0000
0.0000 4.6368 0.0000
0.0000 0.0000 5.4552
ATOMIC_POSITIONS crystal
Y 0.0000 0.0000 0.0000
Al 0.0000 0.5000 0.5000
Al 0.5000 0.0000 0.5000
Ag 0.0000 0.0000 0.5000
Rh 0.5000 0.5000 0.0000
! DFT formation energy, eV/atom: 0.45
! DOS(E_F), states/eV/f.u.: 2.43

# 5
! PBE-GGA Tb2Pr3, optimized geometry; values from VASP
&SYSTEM
  ibrav = 0, nat = 10, ntyp = 2
/
ATOMIC_SPECIES
Tb 158.93 Tb.upf
Pr 140.91 Pr.upf
CELL_PARAMETERS angstrom
-3.2076 8.4367 3.1902
3.2076 -8.4367 3.1902
3.2076 8.4367 -3.1902
ATOMIC_POSITIONS crystal
Tb 0.1943 0.1267 0.3210
Tb 0.3057 0.6267 0.9323
Tb 0.6943 0.3733 0.0677
Tb 0.8057 0.8733 0.6790
Pr 0.0994 0.5970 0.6964
Pr 0.2500 0.2500 0.0000
Pr 0.4006 0.0970 0.4976
Pr 0.5994 0.9030 0.5024
Pr 0.7500 0.7500 0.0000
Pr 0.9006 0.4030 0.3036
! DFT formation energy, eV/atom: 0.15
! DOS(E_F), states/eV/f.u.: 7.84

# 6
! PBE-GGA Pr6Sm3Cd, optimized geometry; values from VASP
&SYSTEM
  ibrav = 0, nat = 20, ntyp = 3
/
ATOMIC_SPECIES
Pr 140.91 Pr.upf
Sm 150.36 Sm.upf
Cd 112.41 Cd.upf
CELL_PARAMETERS angstrom
11.2626 0.0000 0.0000
0.0000 5.2190 0.0000
-0.4511 0.0000 11.5800
ATOMIC_POSITIONS crystal
Pr 0.0450 0.2500 0.3902
Pr 0.1358 0.7500 0.1823
Pr 0.1540 0.2500 0.6854
Pr 0.2336 0.2500 0.9921
Pr 0.3455 0.7500 0.7975
Pr 0.4504 0.2500 0.6008
Pr 0.5496 0.7500 0.3992
Pr 0.6545 0.2500 0.2025
Pr 0.7664 0.7500 0.0079
Pr 0.8460 0.7500 0.3146
Pr 0.8642 0.2500 0.8177
Pr 0.9550 0.7500 0.6098
Sm 0.2464 0.7500 0.4883
Sm 0.3460 0.2500 0.2909
Sm 0.4489 0.7500 0.0971
Sm 0.5511 0.2500 0.9029
Sm 0.6540 0.7500 0.7091
Sm 0.7536 0.2500 0.5117
Cd 0.0545 0.7500 0.8918
Cd 0.9455 0.2500 0.1082
! DFT formation energy, eV/atom: -0.02
! DOS(E_F), states/eV/f.u.: 14.74
! Energy above the lowest structure with this stoichiometry, eV/f.u.: 0.000

# 7
! PBE-GGA K8Rb6Pb, optimized geometry; values from VASP
&SYSTEM
  ibrav = 0, nat = 15, ntyp = 3
/
ATOMIC_SPECIES
K 39.10 K.upf
Rb 85.47 Rb.upf
Pb 207.20 Pb.upf
CELL_PARAMETERS angstrom
12.8126 0.0000 0.0000
-6.4063 11.0960 0.0000
0.0000 0.0000 7.9927
ATOMIC_POSITIONS crystal
K 0.0491 0.2413 0.2565
K 0.1922 0.9509 0.2565
K 0.2413 0.1922 0.7435
K 0.3333 0.6667 0.2601
K 0.6667 0.3333 0.7399
K 0.7587 0.8078 0.2565
K 0.8078 0.0491 0.7435
K 0.9509 0.7587 0.7435
Rb 0.0929 0.4626 0.7572
Rb 0.3696 0.9071 0.7572
Rb 0.4626 0.3696 0.2428
Rb 0.5374 0.6304 0.7572
Rb 0.6304 0.0929 0.2428
Rb 0.9071 0.5374 0.2428
Pb 0.0000 0.0000 0.0000
! DFT formation energy, eV/atom: 0.00
! DOS(E_F), states/eV/f.u.: 11.69

# 8
! PBE-GGA Ac2Sb3Pd4, optimized geometry; values from VASP
&SYSTEM
  ibrav = 0, nat = 18, ntyp = 3
/
ATOMIC_SPECIES
Ac 227.00 Ac.upf
Sb 121.76 Sb.upf
Pd 106.42 Pd.upf
CELL_PARAMETERS angstrom
3.3098 -8.2407 0.0000
3.3098 8.2407 0.0000
0.0000 0.0000 7.7196
ATOMIC_POSITIONS crystal
Ac 0.1096 0.8904 0.9185
Ac 0.3904 0.6096 0.4185
Ac 0.6096 0.3904 0.5815
Ac 0.8904 0.1096 0.0815
Sb 0.0000 0.0000 0.5000
Sb 0.0163 0.4837 0.7500
Sb 0.4837 0.0163 0.2500
Sb 0.5000 0.5000 0.0000
Sb 0.5163 0.9837 0.7500
Sb 0.9837 0.5163 0.2500
Pd 0.1747 0.8253 0.5138
Pd 0.1878 0.3122 0.7500
Pd 0.3122 0.1878 0.2500
Pd 0.3253 0.6747 0.0138
Pd 0.6747 0.3253 0.9862
Pd 0.6878 0.8122 0.7500
Pd 0.8122 0.6878 0.2500
Pd 0.8253 0.1747 0.4862
! E_form (uncorrected), eV/atom: -0.787
! DOS(E_F), states/eV/f.u.: 3.94

no.,magnetization (μB per formula unit),uncorrected energy (eV per atom)
1,0.00,-3.327
2,0.00,-5.420
3,0.00,-6.070
4,0.00,-4.379
5,0.00,-4.574
6,0.00,-4.398
7,0.00,-1.219
8,0.00,-5.382